[1]
Li2TeW: relaxed, PBEsol.

Properties
Calculated total energy ... -4.944 eV/atom
Raw formation energy ... 1.5 eV per formula unit
Total magnetization ... 0.001 μB/cell

Cell lengths 2.9561, 2.9561, 9.6456 Å; angles 81.19, 81.19, 60.00 degrees
Atoms (fractional coordinates):
Li: 0.2520 0.2520 0.2440
Li: 0.7480 0.7480 0.7560
Te: 0.5000 0.5000 0.5000
W: 0.0000 0.0000 0.0000

---

[2]
Li2TeW: relaxed, PBEsol.

Properties
Calculated total energy ... -4.958 eV/atom
Raw formation energy ... 1.4 eV per formula unit
Total magnetization ... 0.000 μB/cell

Cell lengths 2.7451, 4.7928, 5.2914 Å; angles 90.00, 90.01, 90.00 degrees
Atoms (fractional coordinates):
Li: 0.8759 0.0000 0.9863
Li: 0.8738 0.5000 0.2521
Te: 0.3752 0.0000 0.5040
W: 0.3751 0.5000 0.7575

---

[3]
Li2TeW: relaxed, PBEsol.

Properties
Calculated total energy ... -5.119 eV/atom
Raw formation energy ... 0.8 eV per formula unit
Total magnetization ... 0.000 μB/cell

Cell lengths 3.3869, 3.3869, 5.8564 Å; angles 90.00, 90.00, 90.00 degrees
Atoms (fractional coordinates):
Li: 0.0000 0.0000 0.0043
Li: 0.5000 0.5000 0.2312
Te: 0.0000 0.0000 0.5205
W: 0.5000 0.5000 0.7441

---

[4]
LiTe2W: relaxed, PBEsol.

Properties
Calculated total energy ... -5.591 eV/atom
Raw formation energy ... 0.5 eV per formula unit
Total magnetization ... 0.000 μB/cell

Cell lengths 3.4930, 3.4930, 7.0105 Å; angles 90.00, 90.00, 90.00 degrees
Atoms (fractional coordinates):
Li: 0.5000 0.5000 0.7402
Te: 0.0000 0.0000 0.8967
Te: 0.5000 0.5000 0.3421
W: 0.0000 0.0000 0.5210

---

[5]
LiY2Te2: relaxed, PBEsol.

Properties
Calculated total energy ... -5.622 eV/atom
Raw formation energy ... -5.4 eV per formula unit
Total magnetization ... 0.001 μB/cell

Cell lengths 3.9957, 8.0182, 8.0182 Å; angles 90.00, 90.00, 90.00 degrees
Atoms (fractional coordinates):
Y: 0.5000 0.1490 0.6490
Y: 0.5000 0.6490 0.8510
Y: 0.5000 0.8510 0.3510
Y: 0.5000 0.3510 0.1490
Te: 0.0000 0.3481 0.8481
Te: 0.0000 0.8481 0.6519
Te: 0.0000 0.6519 0.1519
Te: 0.0000 0.1519 0.3481
Li: 0.0000 0.0000 0.0000
Li: 0.0000 0.5000 0.5000

---

[6]
LiY4Te: relaxed, PBEsol.

Properties
Calculated total energy ... -5.231 eV/atom
Raw formation energy ... 1.4 eV per formula unit
Total magnetization ... 0.002 μB/cell

Cell lengths 6.3434, 6.3434, 6.3434 Å; angles 60.00, 60.00, 60.00 degrees
Atoms (fractional coordinates):
Li: 0.7500 0.7500 0.7500
Te: 0.0000 0.0000 0.0000
Y: 0.3750 0.3750 0.3750
Y: 0.3750 0.3750 0.8749
Y: 0.8749 0.3750 0.3750
Y: 0.3750 0.8749 0.3750

---

[7]
Li2ZnTe: relaxed, PBEsol.

Properties
Calculated total energy ... -2.511 eV/atom
Raw formation energy ... -1.0 eV per formula unit
Total magnetization ... 0.000 μB/cell
Distance to the lowest polymorph of the same formula ... 180 meV/atom

Cell lengths 4.8793, 4.8793, 4.8793 Å; angles 60.00, 60.00, 60.00 degrees
Atoms (fractional coordinates):
Zn: 0.2500 0.2500 0.2500
Te: 0.5000 0.5000 0.5000
Li: 0.0000 0.0000 0.0000
Li: 0.7500 0.7500 0.7500

---

[8]
Li2ZnTe: relaxed, PBEsol.

Properties
Calculated total energy ... -2.630 eV/atom
Raw formation energy ... -1.5 eV per formula unit
Total magnetization ... 0.000 μB/cell
Distance to the lowest polymorph of the same formula ... 60 meV/atom

Cell lengths 3.1398, 3.9089, 6.1339 Å; angles 90.00, 90.01, 90.00 degrees
Atoms (fractional coordinates):
Zn: 0.5000 0.5000 0.5000
Te: 0.5000 0.5000 0.0000
Li: 0.9996 0.0000 0.7426
Li: 0.0004 0.0000 0.2574